[1]
TaV3Ru | GGA-PBE | optimized geometry

POSCAR file:
```
TaV3Ru
1.0
4.4897 0.0000 0.0000
0.0000 4.4897 0.0000
0.0000 0.0000 4.4897
V Ta Ru
3 1 1
Direct
0.5000 0.0000 0.0000
0.0000 0.0000 0.5000
0.0000 0.5000 0.0000
0.5000 0.5000 0.5000
0.0000 0.0000 0.0000
```

Output
energy relative to the elements: 1.079 eV per atom
distance to the lowest polymorph of the same formula: 1167 meV per atom
ρ: 7979 kg/m³
total magnetic moment: 2.7 Bohr magnetons per cell



[2]
Ta2VRu4 | GGA-PBE | optimized geometry

POSCAR file:
```
Ta2VRu4
1.0
-4.8571 1.1466 -1.7654
1.8347 -4.3349 -2.4220
-0.1363 -0.9352 5.2087
Ru Ta V
4 2 1
Direct
0.0000 0.5000 0.0000
0.5000 0.5000 0.5000
0.0000 0.0000 0.5000
0.5000 0.0000 0.0000
0.5000 0.0000 0.5000
0.5000 0.5000 0.0000
0.0000 0.0000 0.0000
```

Output
energy relative to the elements: -0.037 eV per atom
ρ: 11885 kg/m³
total magnetic moment: 0.0 Bohr magnetons per cell